Record 1
Sm7Y2Tm2 after structural relaxation. Source: the Alexandria database, functional PBE.

Values from the calculation:
Energy relative to the elements: 11.1 kJ per mole of atoms
Energy above the most stable polymorph in this dataset: 0 meV/atom

Unit cell a=5.617 b=16.034 c=8.148 alpha=90.00 beta=90.00 gamma=90.00
Space group Imm2 (No. 44)
Unique sites:
Sm: 0.000 0.000 0.000 [2 per cell]
Sm: 0.000 0.163 0.704 [4 per cell]
Sm: 0.000 0.366 0.499 [4 per cell]
Sm: 0.000 0.368 0.907 [4 per cell]
Y: 0.000 0.202 0.204 [4 per cell]
Tm: 0.000 0.000 0.417 [2 per cell]
Tm: 0.000 0.500 0.203 [2 per cell]

---

Record 2
SmY12Tm6 after structural relaxation. Source: the Alexandria database, functional PBE.

Values from the calculation:
Energy relative to the elements: 14.8 kJ per mole of atoms
Energy above the most stable polymorph in this dataset: 0 meV/atom

Unit cell a=11.8280 b=11.8280 c=15.2993 alpha=90.00 beta=90.00 gamma=120.00
Space group R-3 (No. 148, hexagonal axes)
Unique sites:
Sm: 0.0000 0.0000 0.0000 [3 per cell]
Y: 0.0119 0.1810 0.1907 [18 per cell]
Y: 0.0422 0.1920 0.4149 [18 per cell]
Tm: 0.0119 0.5867 0.6807 [18 per cell]

---

Record 3
Sm2YTm after structural relaxation. Source: the Alexandria database, functional PBE.

Values from the calculation:
Energy relative to the elements: 2.0 kJ per mole of atoms
Energy above the most stable polymorph in this dataset: 6 meV/atom

Unit cell a=3.598 b=11.586 c=12.450 alpha=90.00 beta=90.00 gamma=90.00
Space group P2_12_12_1 (No. 19)
Unique sites:
Sm: 0.250 0.001 0.208 [4 per cell]
Sm: 0.250 0.498 0.042 [4 per cell]
Y: 0.249 0.750 0.874 [4 per cell]
Tm: 0.249 0.750 0.376 [4 per cell]

---

Record 4
Sm2Y4Tm3 after structural relaxation. Source: the Alexandria database, functional PBE.

Values from the calculation:
Energy relative to the elements: 9.1 kJ per mole of atoms

Unit cell a=16.159 b=11.603 c=6.144 alpha=90.00 beta=95.82 gamma=90.00
Space group C2/c (No. 15)
Unique sites:
Sm: 0.121 0.146 0.323 [8 per cell]
Y: 0.047 0.358 0.014 [8 per cell]
Y: 0.214 0.138 0.848 [8 per cell]
Tm: 0.000 0.095 0.750 [4 per cell]
Tm: 0.166 0.402 0.589 [8 per cell]

---

Record 5
Sm5YTm12 after structural relaxation. Source: the Alexandria database, functional PBE.

Values from the calculation:
Energy relative to the elements: 2.3 kJ per mole of atoms

Unit cell a=18.338 b=10.572 c=6.118 alpha=90.00 beta=109.30 gamma=90.00
Space group C2/m (No. 12)
Unique sites:
Sm: 0.000 0.000 0.000 [2 per cell]
Sm: 0.167 0.000 0.500 [4 per cell]
Sm: 0.167 0.500 0.001 [4 per cell]
Y: 0.000 0.500 0.500 [2 per cell]
Tm: 0.000 0.168 0.500 [4 per cell]
Tm: 0.000 0.332 0.000 [4 per cell]
Tm: 0.166 0.332 0.500 [8 per cell]
Tm: 0.167 0.168 0.000 [8 per cell]

---

Record 6
SmY3Tm after structural relaxation. Source: the Alexandria database, functional PBE.

Values from the calculation:
Energy relative to the elements: 0.6 kJ per mole of atoms
Energy above the most stable polymorph in this dataset: 0 meV/atom

Unit cell a=6.312 b=5.657 c=9.635 alpha=90.00 beta=109.06 gamma=90.00
Space group P2_1/m (No. 11)
Unique sites:
Sm: 0.070 0.250 0.299 [2 per cell]
Y: 0.137 0.750 0.098 [2 per cell]
Y: 0.266 0.250 0.703 [2 per cell]
Y: 0.334 0.750 0.501 [2 per cell]
Tm: 0.468 0.250 0.099 [2 per cell]